# 1
Compound: K3Ga2Sb4
Source: the Alexandria database
Functional: PBE-GGA
Structure: relaxed

Output
DFT total energy = -3.20 eV per atom
formation energy (no corrections) = -286.8 kJ/mol of formula units
E above lowest polymorph = 0.000 eV per atom

abc: 19.023 4.365 8.281
angles: 90.00 114.88 90.00
Space group C2/m (No. 12)
Asymmetric unit:
K 0.000 0.000 0.000 x2
K 0.145 0.000 0.744 x4
Ga 0.171 0.500 0.415 x4
Sb 0.017 0.500 0.352 x4
Sb 0.203 0.000 0.253 x4



# 2
Compound: K2GaSb2
Source: the Alexandria database
Functional: PBE-GGA
Structure: relaxed

Output
DFT total energy = -3.11 eV per atom
formation energy (no corrections) = -203.1 kJ/mol of formula units
E above lowest polymorph = 0.000 eV per atom

abc: 15.231 10.547 9.297
angles: 90.00 90.00 90.00
Space group Pnma (No. 62)
Asymmetric unit:
K 0.012 0.024 0.233 x8
K 0.237 0.529 0.582 x8
Ga 0.096 0.250 0.578 x4
Ga 0.177 0.750 0.272 x4
Sb 0.070 0.750 0.497 x4
Sb 0.126 0.750 0.002 x4
Sb 0.153 0.250 0.842 x4
Sb 0.205 0.250 0.361 x4



# 3
Compound: KGaSb
Source: the Alexandria database
Functional: PBE-GGA
Structure: relaxed

Output
DFT total energy = -3.08 eV per atom
formation energy (no corrections) = -95.6 kJ/mol of formula units
E above lowest polymorph = 0.018 eV per atom

abc: 11.454 4.435 8.649
angles: 90.00 121.50 90.00
Space group C2/m (No. 12)
Asymmetric unit:
K 0.060 0.000 0.345 x4
Ga 0.131 0.500 0.040 x4
Sb 0.209 0.500 0.777 x4



# 4
Compound: K2GaSb2
Source: the Alexandria database
Functional: PBE-GGA
Structure: relaxed

Output
DFT total energy = -3.01 eV per atom
formation energy (no corrections) = -151.4 kJ/mol of formula units
E above lowest polymorph = 0.107 eV per atom

abc: 7.422 14.445 7.089
angles: 90.00 90.00 90.00
Space group Ibam (No. 72)
Asymmetric unit:
K 0.183 0.143 0.000 x8
Ga 0.000 0.500 0.250 x4
Sb 0.191 0.396 0.000 x8



# 5
Compound: KGaSb
Source: the Alexandria database
Functional: PBE-GGA
Structure: relaxed

Output
DFT total energy = -2.88 eV per atom
formation energy (no corrections) = -36.7 kJ/mol of formula units
E above lowest polymorph = 0.222 eV per atom

abc: 6.6831 6.6831 7.1284
angles: 90.00 90.00 120.00
Space group P3_2 (No. 145)
Asymmetric unit:
K 0.0787 0.5437 0.0000 x3
Ga 0.0774 0.9210 0.6630 x3
Sb 0.5559 0.4401 0.1651 x3



# 6
Compound: KGa2Sb
Source: the Alexandria database
Functional: PBE-GGA
Structure: relaxed

Output
DFT total energy = -2.76 eV per atom
formation energy (no corrections) = 24.3 kJ/mol of formula units

abc: 4.3402 4.3402 28.5037
angles: 90.00 90.00 120.00
Space group R-3m (No. 166, hexagonal axes)
Asymmetric unit:
K 0.0000 0.0000 0.0000 x3
Ga 0.0000 0.0000 0.1177 x6
Sb 0.0000 0.0000 0.5000 x3



# 7
Compound: KGa2Sb
Source: the Alexandria database
Functional: PBE-GGA
Structure: relaxed

Output
DFT total energy = -2.84 eV per atom
formation energy (no corrections) = -6.9 kJ/mol of formula units

abc: 8.619 8.619 6.651
angles: 90.00 90.00 90.00
Space group I-42d (No. 122)
Asymmetric unit:
K 0.000 0.000 0.000 x4
Ga 0.192 0.750 0.625 x8
Sb 0.000 0.000 0.500 x4



# 8
Compound: KGaSb
Source: the Alexandria database
Functional: PBE-GGA
Structure: relaxed

Output
DFT total energy = -3.10 eV per atom
formation energy (no corrections) = -100.8 kJ/mol of formula units
E above lowest polymorph = 0.000 eV per atom

abc: 5.024 5.142 7.614
angles: 90.00 90.00 90.00
Space group Pmmn (No. 59, origin choice 2)
Asymmetric unit:
K 0.250 0.250 0.170 x2
Ga 0.250 0.750 0.505 x2
Sb 0.250 0.250 0.681 x2



# 9
Compound: KGaSb
Source: the Alexandria database
Functional: PBE-GGA
Structure: relaxed

Output
DFT total energy = -2.88 eV per atom
formation energy (no corrections) = -38.6 kJ/mol of formula units
E above lowest polymorph = 0.215 eV per atom

abc: 3.322 19.257 6.166
angles: 90.00 90.00 90.00
Space group Cmcm (No. 63)
Asymmetric unit:
K 0.000 0.165 0.250 x4
Ga 0.000 0.025 0.750 x4
Sb 0.000 0.354 0.250 x4



# 10
Compound: K2Ga2Sb3
Source: the Alexandria database
Functional: PBE-GGA
Structure: relaxed

Output
DFT total energy = -3.25 eV per atom
formation energy (no corrections) = -204.5 kJ/mol of formula units
E above lowest polymorph = 0.063 eV per atom

abc: 19.190 4.621 13.058
angles: 90.00 125.36 90.00
Space group C2/m (No. 12)
Asymmetric unit:
K 0.119 0.000 0.468 x4
K 0.238 0.000 0.848 x4
Ga 0.020 0.500 0.792 x4
Ga 0.085 0.000 0.142 x4
Sb 0.067 0.500 0.628 x4
Sb 0.091 0.000 0.937 x4
Sb 0.147 0.500 0.283 x4



# 11
Compound: KGaSb
Source: the Alexandria database
Functional: PBE-GGA
Structure: relaxed

Output
DFT total energy = -3.00 eV per atom
formation energy (no corrections) = -71.3 kJ/mol of formula units
E above lowest polymorph = 0.102 eV per atom

abc: 4.4857 4.4857 5.7716
angles: 90.00 90.00 120.00
Space group P3m1 (No. 156)
Asymmetric unit:
K 0.0000 0.0000 0.0000 x1
Ga 0.3333 0.6667 0.4004 x1
Sb 0.6667 0.3333 0.5573 x1



# 12
Compound: K2GaSb3
Source: the Alexandria database
Functional: PBE-GGA
Structure: relaxed

Output
DFT total energy = -3.07 eV per atom
formation energy (no corrections) = -82.9 kJ/mol of formula units

abc: 6.4770 6.4770 12.5695
angles: 90.00 90.00 120.00
Space group P-3m1 (No. 164)
Asymmetric unit:
K 0.0000 0.0000 0.0000 x1
K 0.0000 0.0000 0.5000 x1
K 0.3333 0.6667 0.1008 x2
Ga 0.3333 0.6667 0.5835 x2
Sb 0.1529 0.3057 0.7613 x6